1.
Entry from the Alexandria database: Sr2AcSe3 after structural relaxation (PBE).

Cell and atoms, written as CIF:
```
data_Sr2AcSe3
_cell_length_a 4.442
_cell_length_b 6.295
_cell_length_c 13.363
_cell_angle_alpha 90.00
_cell_angle_beta 90.00
_cell_angle_gamma 90.00
_symmetry_space_group_name_H-M 'I m m m'
_symmetry_Int_Tables_number 71
_symmetry_space_group_name_Hall '-I 2 2'
loop_
_atom_site_label
_atom_site_fract_x
_atom_site_fract_y
_atom_site_fract_z
_atom_site_occupancy
Sr1 0.000 0.000 0.167 1
Ac1 0.000 0.000 0.500 1
Se1 0.000 0.500 0.168 1
Se2 0.000 0.500 0.500 1
```


2.
Entry from the Alexandria database: SrAc6Se8 after structural relaxation (PBE).

Cell and atoms, written as CIF:
```
data_SrAc6Se8
_cell_length_a 12.601
_cell_length_b 12.601
_cell_length_c 12.601
_cell_angle_alpha 90.00
_cell_angle_beta 90.00
_cell_angle_gamma 90.00
_symmetry_space_group_name_H-M 'F m -3 m'
_symmetry_Int_Tables_number 225
_symmetry_space_group_name_Hall '-F 4 2 3'
loop_
_atom_site_label
_atom_site_fract_x
_atom_site_fract_y
_atom_site_fract_z
_atom_site_occupancy
Sr1 0.000 0.000 0.000 1
Ac1 0.000 0.250 0.250 1
Se1 0.000 0.000 0.247 1
Se2 0.250 0.250 0.250 1
```


3.
Entry from the Alexandria database: Sr2AcSe after structural relaxation (PBE).

Cell and atoms, written as CIF:
```
data_Sr2AcSe
_cell_length_a 4.1213
_cell_length_b 4.1213
_cell_length_c 35.1844
_cell_angle_alpha 90.00
_cell_angle_beta 90.00
_cell_angle_gamma 120.00
_symmetry_space_group_name_H-M 'R -3 m'
_symmetry_Int_Tables_number 166
_symmetry_space_group_name_Hall '-R 3 2"'
loop_
_atom_site_label
_atom_site_fract_x
_atom_site_fract_y
_atom_site_fract_z
_atom_site_occupancy
Sr1 0.0000 0.0000 0.1115 1
Ac1 0.0000 0.0000 0.0000 1
Se1 0.0000 0.0000 0.5000 1
```


4.
Entry from the Alexandria database: SrAc4Se6 after structural relaxation (PBE).

Cell and atoms, written as CIF:
```
data_SrAc4Se6
_cell_length_a 12.4441
_cell_length_b 12.4441
_cell_length_c 15.0702
_cell_angle_alpha 90.00
_cell_angle_beta 90.00
_cell_angle_gamma 120.00
_symmetry_space_group_name_H-M 'R -3 c'
_symmetry_Int_Tables_number 167
_symmetry_space_group_name_Hall '-R 3 2"c'
loop_
_atom_site_label
_atom_site_fract_x
_atom_site_fract_y
_atom_site_fract_z
_atom_site_occupancy
Sr1 0.0000 0.0000 0.0000 1
Ac1 0.0000 0.0000 0.2500 1
Ac2 0.0000 0.3839 0.2500 1
Se1 0.0283 0.2048 0.3853 1
```


5.
Entry from the Alexandria database: SrAc2Se after structural relaxation (PBE).

Cell and atoms, written as CIF:
```
data_SrAc2Se
_cell_length_a 4.1810
_cell_length_b 4.1810
_cell_length_c 35.1142
_cell_angle_alpha 90.00
_cell_angle_beta 90.00
_cell_angle_gamma 120.00
_symmetry_space_group_name_H-M 'R -3 m'
_symmetry_Int_Tables_number 166
_symmetry_space_group_name_Hall '-R 3 2"'
loop_
_atom_site_label
_atom_site_fract_x
_atom_site_fract_y
_atom_site_fract_z
_atom_site_occupancy
Sr1 0.0000 0.0000 0.0000 1
Ac1 0.0000 0.0000 0.1110 1
Se1 0.0000 0.0000 0.5000 1
```


6.
Entry from the Alexandria database: Sr5AcSe6 after structural relaxation (PBE).

Cell and atoms, written as CIF:
```
data_Sr5AcSe6
_cell_length_a 7.705
_cell_length_b 13.344
_cell_length_c 7.708
_cell_angle_alpha 90.00
_cell_angle_beta 109.47
_cell_angle_gamma 90.00
_symmetry_space_group_name_H-M 'C 1 2/m 1'
_symmetry_Int_Tables_number 12
loop_
_symmetry_equiv_pos_as_xyz
'x,y,z'
'-x,-y,-z'
'-x,y,-z'
'x,-y,z'
'x+1/2,y+1/2,z'
'-x+1/2,-y+1/2,-z'
'-x+1/2,y+1/2,-z'
'x+1/2,-y+1/2,z'
loop_
_atom_site_label
_atom_site_fract_x
_atom_site_fract_y
_atom_site_fract_z
_atom_site_occupancy
Sr1 0.000 0.000 0.000 1
Sr2 0.000 0.167 0.500 1
Sr3 0.000 0.333 0.000 1
Ac1 0.000 0.500 0.500 1
Se1 0.249 0.334 0.750 1
Se2 0.249 0.500 0.250 1
```


Formation energy without anion corrections, record by record: -11.9 -29.0 -3.1 -20.2 -2.6 -24.3 eV per formula unit